1.
VASP calculation (meta-GGA SCAN) on a crystal of TaCuIN2 relaxed with PBEsol.

Unit cell a=3.9446 b=3.9446 c=5.8282 alpha=90.00 beta=90.00 gamma=90.00
Last column: nearest neighbours and their distance in Å.
Space group P4/mmm (No. 123)
Unique sites:
1 Ta 0.0000 0.0000 0.0000 [1 per cell]  4 N 1.97
2 Cu 0.5000 0.5000 0.5000 [1 per cell]  4 I 2.79
3 I 0.0000 0.0000 0.5000 [1 per cell]  4 Cu 2.79, 2 Ta 2.91
4 N 0.0000 0.5000 0.0000 [2 per cell]  2 Ta 1.97

2.
VASP calculation (meta-GGA SCAN) on a crystal of CuTe2IN relaxed with PBEsol.

Unit cell a=5.0537 b=5.0537 c=5.3253 alpha=90.00 beta=90.00 gamma=90.00
Last column: nearest neighbours and their distance in Å.
Space group P4/mmm (No. 123)
Unique sites:
1 Cu 0.0000 0.0000 0.0000 [1 per cell]  4 Te 2.53, 2 I 2.66
2 Te 0.0000 0.5000 0.0000 [2 per cell]  2 Cu 2.53
3 I 0.0000 0.0000 0.5000 [1 per cell]  2 Cu 2.66
4 N 0.5000 0.5000 0.5000 [1 per cell]  4 I 3.57, 8 Te 3.67

Uncorrected formation energy list, top to bottom, in kJ/mol of atoms: 36.3 120.1